Material: Sm10As8Au3O10
Method: DFT, GGA-PBEsol
State: optimized geometry

The structure belongs to space group I4/m (No. 87); the cell edges are 9.035, 9.035 and 14.315 Å and the angles 90.00°, 90.00° and 90.00°. The asymmetric unit holds Sm at (0.000, 0.000, 0.165), Sm at (0.100, 0.296, 0.325), As at (0.087, 0.775, 0.000), As at (0.130, 0.751, 0.500), Au at (0.000, 0.000, 0.500), Au at (0.000, 0.500, 0.000), O at (0.000, 0.500, 0.250) and O at (0.100, 0.802, 0.247).

For the mass density, the calculation gives 8.11 g/cm3. For the total energy, the calculation gives -451.81 eV per cell. The formation energy (no corrections) is -2254 meV/atom.